DFT (PBE-GGA) results for a geometry-optimized SiRu2Cl structure.

extended XYZ file:
```
8
Lattice="-2.6011 2.6011 5.5692 2.6011 -2.6011 5.5692 2.6011 2.6011 -5.5692" Properties=species:S:1:pos:R:3 pbc="T T T"
Si 0.0000 0.0000 0.0000
Si 0.0000 2.6011 2.7846
Ru 3.9017 1.2574 -1.3923
Ru 1.2574 1.3006 1.3923
Ru -1.3006 1.3438 4.1769
Ru 1.3438 1.3006 6.9615
Cl 2.6011 0.0000 2.7846
Cl 0.0000 0.0000 5.5692
```

Computed properties:
Its space-group type is I-42d (122). The formation energy (no corrections) comes out at 1.88 eV per formula unit. As for the total magnetic moment: 0.0 Bohr magnetons per cell. The uncorrected energy is -47.884 eV per cell. For the calculated density, the calculation gives 5.85 Mg/m³. Its offset from the most stable computed form is 0.5315 eV/atom.